--- A ---
# Be3SbAs

A relaxed structure of Be3SbAs (PBE-GGA, Alexandria via LeMat-Bulk).

abc: 4.598 4.598 4.598
angles: 90.00 90.00 90.00
Atoms (fractional coordinates):
Be1 0.000 0.000 0.500
Be2 0.000 0.500 0.000
Be3 0.500 0.000 0.000
Sb1 0.000 0.000 0.000
As1 0.500 0.500 0.500

--- B ---
# Be3SbAs

A relaxed structure of Be3SbAs (PBE-GGA, Alexandria via LeMat-Bulk).

abc: 4.372 4.372 4.372
angles: 90.00 90.00 90.00
Atoms (fractional coordinates):
Be1 0.000 0.000 0.500
Be2 0.000 0.500 0.000
Be3 0.500 0.000 0.000
Sb1 0.500 0.500 0.500
As1 0.000 0.000 0.000

Short version: A is the least stable of them.

--- A ---
# BeSbAs3

A relaxed structure of BeSbAs3 (PBE-GGA, Alexandria via LeMat-Bulk).

abc: 4.609 4.609 4.609
angles: 90.00 90.00 90.00
Atoms (fractional coordinates):
Be1 0.000 0.000 0.000
Sb1 0.500 0.500 0.500
As1 0.000 0.000 0.500
As2 0.000 0.500 0.000
As3 0.500 0.000 0.000

--- B ---
# BeSbAs3

A relaxed structure of BeSbAs3 (PBE-GGA, Alexandria via LeMat-Bulk).

abc: 5.256 5.256 5.256
angles: 90.00 90.00 90.00
Atoms (fractional coordinates):
Be1 0.000 0.000 0.000
Sb1 0.500 0.500 0.500
As1 0.000 0.500 0.500
As2 0.500 0.000 0.500
As3 0.500 0.500 0.000

Short version: B is the least stable of them.

--- A ---
# BeSbAsSe2

A relaxed structure of BeSbAsSe2 (PBE-GGA, Alexandria via LeMat-Bulk).

abc: 5.243 5.243 5.378
angles: 90.00 90.00 90.00
Atoms (fractional coordinates):
Be1 0.000 0.000 0.000
Sb1 0.500 0.500 0.500
As1 0.500 0.500 0.000
Se1 0.000 0.500 0.500
Se2 0.500 0.000 0.500

--- B ---
# BeSbAsSe2

A relaxed structure of BeSbAsSe2 (PBE-GGA, Alexandria via LeMat-Bulk).

abc: 4.630 4.630 4.665
angles: 90.00 90.00 90.00
Atoms (fractional coordinates):
Be1 0.000 0.000 0.000
Sb1 0.500 0.500 0.500
As1 0.000 0.000 0.500
Se1 0.000 0.500 0.000
Se2 0.500 0.000 0.000

Short version: A is the least stable of them.

--- A ---
# BeSb2TeAs

A relaxed structure of BeSb2TeAs (PBE-GGA, Alexandria via LeMat-Bulk).

abc: 5.324 5.324 5.515
angles: 90.00 90.00 90.00
Atoms (fractional coordinates):
Be1 0.000 0.000 0.000
Sb1 0.000 0.500 0.500
Sb2 0.500 0.000 0.500
Te1 0.500 0.500 0.000
As1 0.500 0.500 0.500

--- B ---
# BeSb2TeAs

A relaxed structure of BeSb2TeAs (PBE-GGA, Alexandria via LeMat-Bulk).

abc: 4.884 4.884 5.014
angles: 90.00 90.00 90.00
Atoms (fractional coordinates):
Be1 0.000 0.000 0.000
Sb1 0.000 0.500 0.000
Sb2 0.500 0.000 0.000
Te1 0.000 0.000 0.500
As1 0.500 0.500 0.500

Short version: A is the least stable of them.

--- A ---
# Sc2BeAs

A relaxed structure of Sc2BeAs (PBE-GGA, Alexandria via LeMat-Bulk).

abc: 3.454 3.454 5.841
angles: 90.00 90.00 90.00
Atoms (fractional coordinates):
Sc1 0.000 0.000 0.249
Sc2 0.000 0.000 0.751
Be1 0.500 0.500 0.000
As1 0.500 0.500 0.500

--- B ---
# Sc2BeAs

A relaxed structure of Sc2BeAs (PBE-GGA, Alexandria via LeMat-Bulk).

abc: 3.230 3.230 7.070
angles: 90.00 90.00 90.00
Atoms (fractional coordinates):
Sc1 0.000 0.000 0.000
Sc2 0.500 0.500 0.343
Be1 0.500 0.500 0.743
As1 0.000 0.000 0.610

Short version: B is the least stable of them.

--- A ---
# ScBe3As

A relaxed structure of ScBe3As (PBE-GGA, Alexandria via LeMat-Bulk).

abc: 4.675 4.675 4.675
angles: 90.00 90.00 90.00
Atoms (fractional coordinates):
Sc1 0.000 0.000 0.000
Be1 0.000 0.000 0.500
Be2 0.000 0.500 0.000
Be3 0.500 0.000 0.000
As1 0.500 0.500 0.500

--- B ---
# ScBe3As

A relaxed structure of ScBe3As (PBE-GGA, Alexandria via LeMat-Bulk).

abc: 4.290 4.290 4.290
angles: 90.00 90.00 90.00
Atoms (fractional coordinates):
Sc1 0.000 0.000 0.000
Be1 0.000 0.500 0.500
Be2 0.500 0.000 0.500
Be3 0.500 0.500 0.000
As1 0.500 0.500 0.500

Short version: A is the least stable of them.

--- A ---
# ScBeAs2Se

A relaxed structure of ScBeAs2Se (PBE-GGA, Alexandria via LeMat-Bulk).

abc: 5.103 5.103 5.059
angles: 90.00 90.00 90.00
Atoms (fractional coordinates):
Sc1 0.000 0.000 0.000
Be1 0.500 0.500 0.500
As1 0.000 0.500 0.000
As2 0.500 0.000 0.000
Se1 0.000 0.000 0.500

--- B ---
# ScBeAs2Se

A relaxed structure of ScBeAs2Se (PBE-GGA, Alexandria via LeMat-Bulk).

abc: 4.250 4.250 5.473
angles: 90.00 90.00 90.00
Atoms (fractional coordinates):
Sc1 0.000 0.000 0.000
Be1 0.500 0.500 0.500
As1 0.000 0.500 0.500
As2 0.500 0.000 0.500
Se1 0.500 0.500 0.000

Short version: A is the least stable of them.

--- A ---
# ScBeAsSe2

A relaxed structure of ScBeAsSe2 (PBE-GGA, Alexandria via LeMat-Bulk).

abc: 5.078 5.078 5.185
angles: 90.00 90.00 90.00
Atoms (fractional coordinates):
Sc1 0.000 0.000 0.000
Be1 0.500 0.500 0.500
As1 0.000 0.000 0.500
Se1 0.000 0.500 0.000
Se2 0.500 0.000 0.000

--- B ---
# ScBeAsSe2

A relaxed structure of ScBeAsSe2 (PBE-GGA, Alexandria via LeMat-Bulk).

abc: 4.788 4.788 4.269
angles: 90.00 90.00 90.00
Atoms (fractional coordinates):
Sc1 0.000 0.000 0.000
Be1 0.500 0.500 0.500
As1 0.500 0.500 0.000
Se1 0.000 0.500 0.500
Se2 0.500 0.000 0.500

Short version: A is the least stable of them.

--- A ---
# BeAsSe

A relaxed structure of BeAsSe (PBE-GGA, Alexandria via LeMat-Bulk).

abc: 6.288 5.772 3.571
angles: 80.89 65.01 34.11
Atoms (fractional coordinates):
Be1 0.000 0.000 0.000
As1 0.627 0.627 0.373
Se1 0.387 0.387 0.613

--- B ---
# BeAsSe

A relaxed structure of BeAsSe (PBE-GGA, Alexandria via LeMat-Bulk).

abc: 2.994 2.994 7.551
angles: 90.00 90.00 120.00
Atoms (fractional coordinates):
Be1 0.000 0.000 0.000
As1 0.333 0.667 0.757
Se1 0.667 0.333 0.217

--- C ---
# BeAsSe

A relaxed structure of BeAsSe (PBE-GGA, Alexandria via LeMat-Bulk).

abc: 4.250 4.250 4.250
angles: 60.00 60.00 60.00
Atoms (fractional coordinates):
Be1 0.000 0.000 0.000
As1 0.750 0.750 0.750
Se1 0.250 0.250 0.250

Short version: C is the least stable of them.

--- A ---
# BeAsSe

A relaxed structure of BeAsSe (PBE-GGA, Alexandria via LeMat-Bulk).

abc: 5.895 5.895 5.895
angles: 148.27 148.27 45.49
Atoms (fractional coordinates):
Be1 0.000 0.000 0.000
As1 0.370 0.370 0.000
Se1 0.595 0.595 0.000

--- B ---
# BeAsSe

A relaxed structure of BeAsSe (PBE-GGA, Alexandria via LeMat-Bulk).

abc: 3.526 3.526 4.709
angles: 90.00 90.00 120.00
Atoms (fractional coordinates):
Be1 0.000 0.000 0.000
As1 0.333 0.667 0.698
Se1 0.667 0.333 0.241

Short version: A is the least stable of them.

--- A ---
# BeAsSe3

A relaxed structure of BeAsSe3 (PBE-GGA, Alexandria via LeMat-Bulk).

abc: 4.578 4.578 4.578
angles: 90.00 90.00 90.00
Atoms (fractional coordinates):
Be1 0.000 0.000 0.000
As1 0.500 0.500 0.500
Se1 0.000 0.000 0.500
Se2 0.000 0.500 0.000
Se3 0.500 0.000 0.000

--- B ---
# BeAsSe3

A relaxed structure of BeAsSe3 (PBE-GGA, Alexandria via LeMat-Bulk).

abc: 4.999 4.999 4.999
angles: 90.00 90.00 90.00
Atoms (fractional coordinates):
Be1 0.000 0.000 0.000
As1 0.500 0.500 0.500
Se1 0.000 0.500 0.500
Se2 0.500 0.000 0.500
Se3 0.500 0.500 0.000

Short version: B is the least stable of them.

--- A ---
# BeSiAsSe2

A relaxed structure of BeSiAsSe2 (PBE-GGA, Alexandria via LeMat-Bulk).

abc: 4.790 4.790 4.209
angles: 90.00 90.00 90.00
Atoms (fractional coordinates):
Be1 0.000 0.000 0.000
Si1 0.500 0.500 0.500
As1 0.000 0.000 0.500
Se1 0.000 0.500 0.000
Se2 0.500 0.000 0.000

--- B ---
# BeSiAsSe2

A relaxed structure of BeSiAsSe2 (PBE-GGA, Alexandria via LeMat-Bulk).

abc: 4.766 4.766 4.841
angles: 90.00 90.00 90.00
Atoms (fractional coordinates):
Be1 0.000 0.000 0.000
Si1 0.500 0.500 0.500
As1 0.500 0.500 0.000
Se1 0.000 0.500 0.500
Se2 0.500 0.000 0.500

Short version: B is the least stable of them.

--- A ---
# SrBeAsSe2

A relaxed structure of SrBeAsSe2 (PBE-GGA, Alexandria via LeMat-Bulk).

abc: 5.782 5.782 5.967
angles: 90.00 90.00 90.00
Atoms (fractional coordinates):
Sr1 0.000 0.000 0.000
Be1 0.500 0.500 0.500
As1 0.000 0.000 0.500
Se1 0.000 0.500 0.000
Se2 0.500 0.000 0.000

--- B ---
# SrBeAsSe2

A relaxed structure of SrBeAsSe2 (PBE-GGA, Alexandria via LeMat-Bulk).

abc: 5.118 5.118 4.262
angles: 90.00 90.00 90.00
Atoms (fractional coordinates):
Sr1 0.000 0.000 0.000
Be1 0.500 0.500 0.500
As1 0.500 0.500 0.000
Se1 0.000 0.500 0.500
Se2 0.500 0.000 0.500

Short version: A is the least stable of them.

--- A ---
# TaBeAs2Se

A relaxed structure of TaBeAs2Se (PBE-GGA, Alexandria via LeMat-Bulk).

abc: 4.281 4.281 4.869
angles: 90.00 90.00 90.00
Atoms (fractional coordinates):
Ta1 0.000 0.000 0.000
Be1 0.500 0.500 0.500
As1 0.000 0.500 0.500
As2 0.500 0.000 0.500
Se1 0.500 0.500 0.000

--- B ---
# TaBeAs2Se

A relaxed structure of TaBeAs2Se (PBE-GGA, Alexandria via LeMat-Bulk).

abc: 5.033 5.033 4.940
angles: 90.00 90.00 90.00
Atoms (fractional coordinates):
Ta1 0.000 0.000 0.000
Be1 0.500 0.500 0.500
As1 0.000 0.500 0.000
As2 0.500 0.000 0.000
Se1 0.000 0.000 0.500

Short version: A is the least stable of them.